[1]
The following is a DFT calculation (GGA-PBE) of crystalline AcCu2Pd4 at its relaxed geometry.

Lattice parameters (Å, degrees): 5.5048 5.5048 5.2775 118.45 118.45 76.00
Fractional coordinates of all 7 atoms:
Ac  0.0000  0.0000  0.0000
Cu  0.5002  0.5002  0.2483
Cu  0.4998  0.4998  0.7517
Pd  0.0026  0.6004  0.3014
Pd  0.3996  0.9974  0.6986
Pd  0.6004  0.0026  0.3014
Pd  0.9974  0.3996  0.6986

## Properties
**Symmetry**: No. 12

[2]
The following is a DFT calculation (GGA-PBE) of crystalline AcCuPd2 at its relaxed geometry.

Lattice parameters (Å, degrees): 9.4971 9.4971 4.3777 90.00 90.00 154.22
Fractional coordinates of all 8 atoms:
Ac  0.1089  0.8911  0.7500
Ac  0.8911  0.1089  0.2500
Cu  0.3254  0.6746  0.7500
Cu  0.6746  0.3254  0.2500
Pd  0.2516  0.7484  0.2500
Pd  0.4592  0.5408  0.7500
Pd  0.5408  0.4592  0.2500
Pd  0.7484  0.2516  0.7500

## Properties
**ΔE to the lowest computed polymorph**: 0.0218 eV/atom
**Symmetry**: No. 63

[3]
The following is a DFT calculation (GGA-PBE) of crystalline Ac2CuPd5 at its relaxed geometry.

Lattice parameters (Å, degrees): 6.2066 6.2066 6.2066 119.33 119.33 91.16
Fractional coordinates of all 8 atoms:
Ac  0.0000  0.5000  0.5000
Ac  0.5000  0.0000  0.5000
Cu  0.3086  0.3086  0.0000
Pd  0.0000  0.0000  0.0000
Pd  0.5247  0.5247  0.5554
Pd  0.5247  0.9693  0.0000
Pd  0.9693  0.5247  0.0000
Pd  0.9693  0.9693  0.4446

## Properties
**Symmetry**: No. 107

Quick rundown of ΔH_f (0 K), same order as above: -0.41, -0.56, -0.63 eV/atom
Quick rundown of total energy, same order as above: -5.1317, -5.2110, -5.4172 eV per atom